No. 1
This record from Alexandria via LeMat-Bulk describes a geometry-optimized Pu2SnF11 structure. The functional is PBE.

a b c (Å): 8.765 8.765 8.765
angles (deg): 121.46 107.82 99.91
Positions (direct):
Pu: 0.179 0.153 0.332
Pu: 0.321 0.653 0.975
Pu: 0.679 0.347 0.025
Pu: 0.821 0.847 0.668
Sn: 0.250 0.750 0.500
Sn: 0.750 0.250 0.500
F: 0.000 0.000 0.000
F: 0.054 0.449 0.777
F: 0.063 0.863 0.662
F: 0.172 0.949 0.395
F: 0.200 0.401 0.338
F: 0.213 0.861 0.074
F: 0.287 0.361 0.648
F: 0.300 0.637 0.200
F: 0.328 0.723 0.777
F: 0.437 0.099 0.800
F: 0.446 0.223 0.395
F: 0.500 0.500 0.000
F: 0.554 0.777 0.605
F: 0.563 0.901 0.200
F: 0.672 0.277 0.223
F: 0.700 0.363 0.800
F: 0.713 0.639 0.352
F: 0.787 0.139 0.926
F: 0.800 0.599 0.662
F: 0.828 0.051 0.605
F: 0.937 0.137 0.338
F: 0.946 0.551 0.223

Computed properties:
Magnetization ... 14.0 μB per cell
Uncorrected formation energy ... -3072 meV/atom
Raw total energy ... -6.8758 eV per atom
DOS at the Fermi energy ... 19.5 states/eV/f.u.

No. 2
This record from Alexandria via LeMat-Bulk describes a geometry-optimized PuSnF4 structure. The functional is PBE.

a b c (Å): 4.644 7.031 7.316
angles (deg): 90.00 99.10 90.00
Positions (direct):
Pu: 0.012 0.250 0.395
Pu: 0.988 0.750 0.605
Sn: 0.441 0.250 0.941
Sn: 0.559 0.750 0.059
F: 0.057 0.250 0.073
F: 0.115 0.067 0.675
F: 0.115 0.433 0.675
F: 0.488 0.750 0.597
F: 0.512 0.250 0.403
F: 0.885 0.567 0.325
F: 0.885 0.933 0.325
F: 0.943 0.750 0.927

Computed properties:
Magnetization ... 10.5 μB per cell
Uncorrected formation energy ... -2791 meV/atom
Raw total energy ... -7.0947 eV per atom
DOS at the Fermi energy ... 10.3 states/eV/f.u.

No. 3
This record from Alexandria via LeMat-Bulk describes a geometry-optimized Sr2PuF structure. The functional is PBE.

a b c (Å): 10.763 10.763 10.763
angles (deg): 20.04 20.04 20.04
Positions (direct):
Sr: 0.112 0.112 0.112
Sr: 0.888 0.888 0.888
Pu: 0.000 0.000 0.000
F: 0.500 0.500 0.500

Computed properties:
Magnetization ... 5.6 μB per cell
Uncorrected formation energy ... -843 meV/atom
Raw total energy ... -5.7349 eV per atom
DOS at the Fermi energy ... 12.1 states/eV/f.u.

No. 4
This record from Alexandria via LeMat-Bulk describes a geometry-optimized Sr2PuF8 structure. The functional is PBE.

a b c (Å): 7.605 7.605 5.618
angles (deg): 108.20 108.20 31.12
Positions (direct):
Sr: 0.180 0.180 0.181
Sr: 0.820 0.820 0.819
Pu: 0.500 0.500 0.500
F: 0.024 0.024 0.309
F: 0.220 0.220 0.794
F: 0.357 0.357 0.560
F: 0.412 0.412 0.106
F: 0.588 0.588 0.894
F: 0.643 0.643 0.440
F: 0.780 0.780 0.206
F: 0.976 0.976 0.691

Computed properties:
Magnetization ... 4.0 μB per cell
Uncorrected formation energy ... -3703 meV/atom
Raw total energy ... -6.6730 eV per atom
DOS at the Fermi energy ... 6.6 states/eV/f.u.

No. 5
This record from Alexandria via LeMat-Bulk describes a geometry-optimized SrPuF4 structure. The functional is PBE.

a b c (Å): 7.273 7.273 5.095
angles (deg): 108.61 108.61 114.03
Positions (direct):
Sr: 0.136 0.864 0.750
Sr: 0.864 0.136 0.250
Pu: 0.407 0.593 0.250
Pu: 0.593 0.407 0.750
F: 0.087 0.537 0.311
F: 0.199 0.236 0.744
F: 0.236 0.199 0.244
F: 0.463 0.913 0.189
F: 0.537 0.087 0.811
F: 0.764 0.801 0.756
F: 0.801 0.764 0.256
F: 0.913 0.463 0.689

Computed properties:
Magnetization ... 12.0 μB per cell
Uncorrected formation energy ... -3437 meV/atom
Raw total energy ... -7.3533 eV per atom
DOS at the Fermi energy ... 9.4 states/eV/f.u.

No. 6
This record from Alexandria via LeMat-Bulk describes a geometry-optimized SrPuF2 structure. The functional is PBE.

a b c (Å): 6.922 6.922 6.922
angles (deg): 35.21 35.21 35.21
Positions (direct):
Sr: 0.000 0.000 0.000
Pu: 0.500 0.500 0.500
F: 0.131 0.131 0.131
F: 0.869 0.869 0.869

Computed properties:
Magnetization ... 6.4 μB per cell
Uncorrected formation energy ... -2389 meV/atom
Raw total energy ... -7.3284 eV per atom
DOS at the Fermi energy ... 8.4 states/eV/f.u.

No. 7
This record from Alexandria via LeMat-Bulk describes a geometry-optimized SrPuTl2F8 structure. The functional is PBE.

a b c (Å): 4.043 8.230 6.673
angles (deg): 90.00 90.08 90.00
Positions (direct):
Sr: 0.000 0.000 0.000
Pu: 0.000 0.500 0.000
Tl: 0.500 0.240 0.500
Tl: 0.500 0.760 0.500
F: 0.001 0.283 0.804
F: 0.001 0.717 0.804
F: 0.499 0.500 0.184
F: 0.500 0.000 0.221
F: 0.500 0.000 0.779
F: 0.501 0.500 0.816
F: 0.999 0.283 0.196
F: 0.999 0.717 0.196

Computed properties:
Magnetization ... 4.0 μB per cell
Uncorrected formation energy ... -3026 meV/atom
Raw total energy ... -6.0023 eV per atom
DOS at the Fermi energy ... 7.6 states/eV/f.u.

No. 8
This record from Alexandria via LeMat-Bulk describes a geometry-optimized TbPu2F11 structure. The functional is PBE.

a b c (Å): 8.620 8.620 8.620
angles (deg): 121.47 107.03 100.67
Positions (direct):
Tb: 0.250 0.250 0.000
Tb: 0.750 0.750 0.000
Pu: 0.181 0.654 0.835
Pu: 0.319 0.154 0.473
Pu: 0.681 0.846 0.527
Pu: 0.819 0.346 0.165
F: 0.000 0.500 0.500
F: 0.037 0.946 0.266
F: 0.069 0.354 0.149
F: 0.180 0.446 0.909
F: 0.205 0.920 0.851
F: 0.212 0.368 0.581
F: 0.288 0.868 0.156
F: 0.295 0.146 0.715
F: 0.320 0.228 0.266
F: 0.431 0.580 0.285
F: 0.463 0.728 0.909
F: 0.500 0.000 0.500
F: 0.537 0.272 0.091
F: 0.569 0.420 0.715
F: 0.680 0.772 0.734
F: 0.705 0.854 0.285
F: 0.712 0.132 0.844
F: 0.788 0.632 0.419
F: 0.795 0.080 0.149
F: 0.820 0.554 0.091
F: 0.931 0.646 0.851
F: 0.963 0.054 0.734

Computed properties:
Magnetization ... 16.0 μB per cell
Uncorrected formation energy ... -3631 meV/atom
Raw total energy ... -7.4795 eV per atom
DOS at the Fermi energy ... 18.4 states/eV/f.u.

No. 9
This record from Alexandria via LeMat-Bulk describes a geometry-optimized Pu2TeF structure. The functional is PBE.

a b c (Å): 4.952 4.952 3.930
angles (deg): 90.00 90.00 90.00
Positions (direct):
Pu: 0.000 0.500 0.000
Pu: 0.500 0.000 0.000
Te: 0.000 0.000 0.500
F: 0.500 0.500 0.500

Computed properties:
Magnetization ... 12.9 μB per cell
ΔE to the lowest computed polymorph ... 175 meV per atom
Uncorrected formation energy ... -1246 meV/atom
Raw total energy ... -9.6649 eV per atom
DOS at the Fermi energy ... 16.2 states/eV/f.u.

No. 10
This record from Alexandria via LeMat-Bulk describes a geometry-optimized PuTeF2 structure. The functional is PBE.

a b c (Å): 6.291 6.291 6.898
angles (deg): 90.00 90.00 142.02
Positions (direct):
Pu: 0.234 0.766 0.750
Pu: 0.766 0.234 0.250
Te: 0.029 0.971 0.250
Te: 0.971 0.029 0.750
F: 0.302 0.698 0.070
F: 0.302 0.698 0.430
F: 0.698 0.302 0.570
F: 0.698 0.302 0.930

Computed properties:
Magnetization ... 9.7 μB per cell
Uncorrected formation energy ... -2515 meV/atom
Raw total energy ... -7.8186 eV per atom
DOS at the Fermi energy ... 7.2 states/eV/f.u.

No. 11
This record from Alexandria via LeMat-Bulk describes a geometry-optimized Pu2TeF2 structure. The functional is PBE.

a b c (Å): 7.573 6.696 6.571
angles (deg): 69.61 55.98 54.41
Positions (direct):
Pu: 0.081 0.081 0.669
Pu: 0.331 0.331 0.919
Pu: 0.669 0.669 0.081
Pu: 0.919 0.919 0.331
Te: 0.375 0.375 0.375
Te: 0.625 0.625 0.625
F: 0.005 0.245 0.005
F: 0.245 0.005 0.245
F: 0.755 0.995 0.755
F: 0.995 0.755 0.995

Computed properties:
Magnetization ... 24.0 μB per cell
Uncorrected formation energy ... -2217 meV/atom
Raw total energy ... -9.3265 eV per atom
DOS at the Fermi energy ... 17.9 states/eV/f.u.

No. 12
This record from Alexandria via LeMat-Bulk describes a geometry-optimized Pu4Te5F2 structure. The functional is PBE.

a b c (Å): 9.542 9.542 8.184
angles (deg): 100.71 100.71 26.27
Positions (direct):
Pu: 0.026 0.026 0.243
Pu: 0.299 0.299 0.792
Pu: 0.701 0.701 0.208
Pu: 0.974 0.974 0.757
Te: 0.147 0.147 0.932
Te: 0.173 0.173 0.467
Te: 0.500 0.500 0.500
Te: 0.827 0.827 0.533
Te: 0.853 0.853 0.068
F: 0.436 0.436 0.844
F: 0.564 0.564 0.156

Computed properties:
Magnetization ... 20.0 μB per cell
Uncorrected formation energy ... -1495 meV/atom
Raw total energy ... -8.4744 eV per atom
DOS at the Fermi energy ... 39.9 states/eV/f.u.

No. 13
This record from Alexandria via LeMat-Bulk describes a geometry-optimized Pu2Te2F structure. The functional is PBE.

a b c (Å): 8.984 8.984 7.802
angles (deg): 90.00 90.00 152.76
Positions (direct):
Pu: 0.072 0.928 0.500
Pu: 0.338 0.662 0.404
Pu: 0.662 0.338 0.904
Pu: 0.928 0.072 0.000
Te: 0.288 0.712 0.017
Te: 0.467 0.533 0.699
Te: 0.533 0.467 0.199
Te: 0.712 0.288 0.517
F: 0.113 0.887 0.811
F: 0.887 0.113 0.311

Computed properties:
Magnetization ... 0.1 μB per cell
Uncorrected formation energy ... -1657 meV/atom
Raw total energy ... -9.0208 eV per atom
DOS at the Fermi energy ... 26.6 states/eV/f.u.

No. 14
This record from Alexandria via LeMat-Bulk describes a geometry-optimized Pu2TeF structure. The functional is PBE.

a b c (Å): 7.096 7.096 7.096
angles (deg): 33.67 33.67 33.67
Positions (direct):
Pu: 0.233 0.233 0.233
Pu: 0.767 0.767 0.767
Te: 0.000 0.000 0.000
F: 0.500 0.500 0.500

Computed properties:
Magnetization ... 12.6 μB per cell
ΔE to the lowest computed polymorph ... 0 meV per atom
Uncorrected formation energy ... -1421 meV/atom
Raw total energy ... -9.8402 eV per atom
DOS at the Fermi energy ... 16.1 states/eV/f.u.

No. 15
This record from Alexandria via LeMat-Bulk describes a geometry-optimized PuTeF3 structure. The functional is PBE.

a b c (Å): 6.718 4.415 6.841
angles (deg): 90.00 103.29 90.00
Positions (direct):
Pu: 0.084 0.000 0.262
Pu: 0.916 0.500 0.738
Te: 0.474 0.698 0.866
Te: 0.526 0.198 0.134
F: 0.014 0.503 0.109
F: 0.118 0.265 0.557
F: 0.351 0.743 0.382
F: 0.649 0.243 0.618
F: 0.882 0.765 0.443
F: 0.986 0.003 0.891

Computed properties:
Magnetization ... 9.7 μB per cell
Uncorrected formation energy ... -2695 meV/atom
Raw total energy ... -7.3123 eV per atom
DOS at the Fermi energy ... 8.9 states/eV/f.u.

No. 16
This record from Alexandria via LeMat-Bulk describes a geometry-optimized Pu2TeF4 structure. The functional is PBE.

a b c (Å): 8.423 8.423 8.423
angles (deg): 28.65 28.65 28.65
Positions (direct):
Pu: 0.239 0.239 0.239
Pu: 0.761 0.761 0.761
Te: 0.000 0.000 0.000
F: 0.140 0.140 0.140
F: 0.433 0.433 0.433
F: 0.567 0.567 0.567
F: 0.860 0.860 0.860

Computed properties:
Magnetization ... 10.0 μB per cell
Uncorrected formation energy ... -2984 meV/atom
Raw total energy ... -8.5972 eV per atom
DOS at the Fermi energy ... 18.5 states/eV/f.u.

No. 17
This record from Alexandria via LeMat-Bulk describes a geometry-optimized Pu2ThF8 structure. The functional is PBE.

a b c (Å): 6.944 6.944 6.944
angles (deg): 146.79 122.84 67.73
Positions (direct):
Pu: 0.180 0.180 0.000
Pu: 0.820 0.820 0.000
Th: 0.500 0.500 0.000
F: 0.078 0.346 0.732
F: 0.201 0.000 0.201
F: 0.365 0.865 0.500
F: 0.387 0.654 0.732
F: 0.613 0.346 0.268
F: 0.635 0.135 0.500
F: 0.799 0.000 0.799
F: 0.922 0.654 0.268

Computed properties:
Magnetization ... 12.0 μB per cell
Uncorrected formation energy ... -3489 meV/atom
Raw total energy ... -8.1308 eV per atom
DOS at the Fermi energy ... 18.1 states/eV/f.u.

No. 18
This record from Alexandria via LeMat-Bulk describes a geometry-optimized PuTh2F11 structure. The functional is PBE.

a b c (Å): 8.973 8.973 8.973
angles (deg): 122.45 106.04 100.79
Positions (direct):
Pu: 0.250 0.250 0.000
Pu: 0.750 0.750 0.000
Th: 0.183 0.646 0.829
Th: 0.317 0.146 0.463
Th: 0.683 0.854 0.537
Th: 0.817 0.354 0.171
F: 0.000 0.500 0.500
F: 0.033 0.958 0.271
F: 0.060 0.354 0.141
F: 0.186 0.458 0.925
F: 0.213 0.920 0.859
F: 0.215 0.377 0.592
F: 0.285 0.877 0.161
F: 0.287 0.146 0.706
F: 0.314 0.239 0.271
F: 0.440 0.580 0.294
F: 0.467 0.739 0.925
F: 0.500 0.000 0.500
F: 0.533 0.261 0.075
F: 0.560 0.420 0.706
F: 0.686 0.761 0.729
F: 0.713 0.854 0.294
F: 0.715 0.123 0.839
F: 0.785 0.623 0.408
F: 0.787 0.080 0.141
F: 0.814 0.542 0.075
F: 0.940 0.646 0.859
F: 0.967 0.042 0.729

Computed properties:
Magnetization ... 10.0 μB per cell
Uncorrected formation energy ... -3964 meV/atom
Raw total energy ... -7.5176 eV per atom
DOS at the Fermi energy ... 14.4 states/eV/f.u.

No. 19
This record from Alexandria via LeMat-Bulk describes a geometry-optimized PuTi2F11 structure. The functional is PBE.

a b c (Å): 8.140 8.140 8.140
angles (deg): 125.26 106.04 98.42
Positions (direct):
Pu: 0.250 0.250 0.000
Pu: 0.750 0.750 0.000
Ti: 0.180 0.628 0.808
Ti: 0.320 0.128 0.447
Ti: 0.680 0.872 0.553
Ti: 0.820 0.372 0.192
F: 0.000 0.500 0.500
F: 0.046 0.371 0.161
F: 0.052 0.975 0.293
F: 0.182 0.475 0.923
F: 0.210 0.885 0.839
F: 0.218 0.375 0.593
F: 0.282 0.875 0.157
F: 0.290 0.129 0.675
F: 0.318 0.241 0.293
F: 0.448 0.741 0.923
F: 0.454 0.615 0.325
F: 0.500 0.000 0.500
F: 0.546 0.385 0.675
F: 0.552 0.259 0.077
F: 0.682 0.759 0.707
F: 0.710 0.871 0.325
F: 0.718 0.125 0.843
F: 0.782 0.625 0.407
F: 0.790 0.115 0.161
F: 0.818 0.525 0.077
F: 0.948 0.025 0.707
F: 0.954 0.629 0.839

Computed properties:
Magnetization ... 10.0 μB per cell
Uncorrected formation energy ... -3376 meV/atom
Raw total energy ... -6.9981 eV per atom
DOS at the Fermi energy ... 15.2 states/eV/f.u.

No. 20
This record from Alexandria via LeMat-Bulk describes a geometry-optimized PuTi2F8 structure. The functional is PBE.

a b c (Å): 6.038 6.038 5.346
angles (deg): 99.17 99.17 63.84
Positions (direct):
Pu: 0.000 0.000 0.000
Ti: 0.282 0.282 0.504
Ti: 0.718 0.718 0.496
F: 0.074 0.625 0.700
F: 0.149 0.149 0.731
F: 0.375 0.926 0.300
F: 0.394 0.394 0.268
F: 0.606 0.606 0.732
F: 0.625 0.074 0.700
F: 0.851 0.851 0.269
F: 0.926 0.375 0.300

Computed properties:
Magnetization ... 8.0 μB per cell
Uncorrected formation energy ... -3191 meV/atom
Raw total energy ... -7.2908 eV per atom
DOS at the Fermi energy ... 10.3 states/eV/f.u.